# GdAl

A relaxed structure of GdAl (PBEsol, the Alexandria database).

```
GdAl
1.0
-2.264 -0.366 2.749
-2.639 -0.807 -2.281
0.853 -3.469 0.240
Gd Al
1 1
Direct
0.000 0.000 0.000
0.500 0.500 0.500
```

Properties
As for the formation energy: -0.4037 eV/atom. The value obtained for the density of states at the Fermi level is 0.8 states/eV/cell.


# GdAlGe

A relaxed structure of GdAlGe (PBEsol, the Alexandria database).

```
GdAlGe
1.0
-2.980 -2.820 0.418
2.815 -2.814 1.081
-0.720 4.702 6.252
Ge Gd Al
2 2 2
Direct
0.249 0.249 0.499
0.499 0.999 0.999
0.669 0.669 0.338
0.919 0.419 0.838
0.085 0.085 0.169
0.335 0.835 0.669
```

Properties
As for the formation energy: -0.6669 eV/atom. The value obtained for the density of states at the Fermi level is 1.3 states/eV/cell.


# GdAlGe

A relaxed structure of GdAlGe (PBEsol, the Alexandria database).

```
GdAlGe
1.0
4.040 0.000 0.000
-2.020 5.197 0.000
0.000 0.000 5.752
Gd Ge Al
2 2 2
Direct
0.310 0.620 0.250
0.690 0.380 0.750
0.395 0.790 0.750
0.605 0.210 0.250
0.000 0.000 0.000
0.000 0.000 0.500
```

Properties
As for the formation energy: -0.7049 eV/atom. The value obtained for the density of states at the Fermi level is 2.2 states/eV/cell.


# Gd2Al3Ge4

A relaxed structure of Gd2Al3Ge4 (PBEsol, the Alexandria database).

```
Gd2Al3Ge4
1.0
-0.225 -5.760 1.180
6.059 0.779 4.957
-4.571 4.193 4.928
Ge Al Gd
8 6 4
Direct
0.796 0.750 0.091
0.684 0.448 0.368
0.184 0.052 0.368
0.704 0.250 0.909
0.816 0.948 0.632
0.204 0.250 0.909
0.316 0.552 0.632
0.296 0.750 0.091
0.034 0.250 0.567
0.534 0.250 0.567
0.966 0.750 0.433
0.500 0.500 0.000
0.466 0.750 0.433
0.000 0.000 0.000
0.615 0.080 0.229
0.385 0.920 0.771
0.115 0.420 0.229
0.885 0.580 0.771
```

Properties
As for the formation energy: -0.5133 eV/atom. The value obtained for the density of states at the Fermi level is 5.9 states/eV/cell.


# LaGdAl4

A relaxed structure of LaGdAl4 (PBEsol, the Alexandria database).

```
LaGdAl4
1.0
-4.364 1.469 -3.225
-2.288 -3.748 -3.511
-5.109 -2.091 1.062
La Al Gd
1 4 1
Direct
0.000 0.000 0.000
0.375 0.875 0.375
0.375 0.375 0.375
0.875 0.375 0.375
0.375 0.375 0.875
0.750 0.750 0.750
```

Properties
As for the formation energy: -0.5060 eV/atom. The value obtained for the density of states at the Fermi level is 4.4 states/eV/cell.


# LiGd2Al

A relaxed structure of LiGd2Al (PBEsol, the Alexandria database).

```
LiGd2Al
1.0
5.135 0.000 0.000
2.568 4.447 0.000
2.568 1.482 4.193
Gd Al Li
2 1 1
Direct
0.250 0.250 0.250
0.750 0.750 0.750
0.500 0.500 0.500
0.000 0.000 0.000
```

Properties
As for the formation energy: -0.1987 eV/atom. The value obtained for the density of states at the Fermi level is 3.4 states/eV/cell.


# GdAlNi4

A relaxed structure of GdAlNi4 (PBEsol, the Alexandria database).

```
GdAlNi4
1.0
3.975 0.000 0.000
0.000 4.853 -0.016
0.000 -2.312 4.267
Ni Al Gd
4 1 1
Direct
0.500 0.000 0.500
0.500 0.500 0.000
0.000 0.830 0.170
0.000 0.170 0.830
0.500 0.000 0.000
0.000 0.500 0.500
```

Properties
As for the formation energy: -0.5124 eV/atom. The value obtained for the density of states at the Fermi level is 3.0 states/eV/cell.


# GdAl9Ni3

A relaxed structure of GdAl9Ni3 (PBEsol, the Alexandria database).

```
GdAl9Ni3
1.0
-1.892 5.958 -3.645
-4.691 4.682 2.905
4.692 8.073 3.578
Al Gd Ni
18 2 6
Direct
0.948 0.948 0.156
0.238 0.898 0.297
0.898 0.568 0.297
0.718 0.718 0.845
0.613 0.613 0.161
0.387 0.387 0.839
0.291 0.500 0.500
0.432 0.102 0.703
0.666 0.000 0.000
0.282 0.282 0.155
0.334 0.666 0.000
0.102 0.762 0.703
0.709 0.291 0.500
0.052 0.052 0.844
0.568 0.238 0.297
0.500 0.709 0.500
0.762 0.432 0.703
0.000 0.334 0.000
0.167 0.167 0.500
0.833 0.833 0.500
0.921 0.242 0.255
0.079 0.418 0.745
0.582 0.921 0.255
0.242 0.582 0.255
0.758 0.079 0.745
0.418 0.758 0.745
```

Properties
As for the formation energy: -0.5243 eV/atom. The value obtained for the density of states at the Fermi level is 5.7 states/eV/cell.


# Gd2AlNi2

A relaxed structure of Gd2AlNi2 (PBEsol, the Alexandria database).

```
Gd2AlNi2
1.0
4.167 0.000 0.000
0.000 5.317 0.000
-2.084 -2.658 4.129
Gd Ni Al
2 2 1
Direct
0.797 0.297 0.595
0.203 0.703 0.405
0.500 0.264 0.000
0.500 0.736 0.000
0.000 0.000 0.000
```

Properties
As for the formation energy: -0.5128 eV/atom. The value obtained for the density of states at the Fermi level is 4.0 states/eV/cell.


# GdAl2Ni

A relaxed structure of GdAl2Ni (PBEsol, the Alexandria database).

```
GdAl2Ni
1.0
4.049 0.000 0.000
-2.024 5.047 0.000
0.000 0.000 6.854
Al Ni Gd
4 2 2
Direct
0.658 0.317 0.555
0.342 0.683 0.055
0.342 0.683 0.445
0.658 0.317 0.945
0.216 0.432 0.750
0.784 0.568 0.250
0.060 0.119 0.250
0.940 0.881 0.750
```

Properties
As for the formation energy: -0.6294 eV/atom. The value obtained for the density of states at the Fermi level is 4.3 states/eV/cell.


# GdAlNi

A relaxed structure of GdAlNi (PBEsol, the Alexandria database).

```
GdAlNi
1.0
3.903 0.000 0.000
0.000 6.875 0.000
0.000 -3.437 5.954
Ni Gd Al
3 3 3
Direct
0.500 0.333 0.667
0.500 0.667 0.333
0.000 0.000 0.000
0.000 0.000 0.581
0.000 0.581 0.000
0.000 0.419 0.419
0.500 0.000 0.234
0.500 0.234 0.000
0.500 0.766 0.766
```

Properties
As for the formation energy: -0.5848 eV/atom. The value obtained for the density of states at the Fermi level is 7.2 states/eV/cell.


# GdAlO3

A relaxed structure of GdAlO3 (PBEsol, the Alexandria database).

```
GdAlO3
1.0
-1.104 0.410 3.505
-2.878 -2.230 -0.645
2.042 -2.921 0.985
O Al Gd
3 1 1
Direct
0.500 0.000 0.000
0.000 0.000 0.500
0.000 0.500 0.000
0.000 0.000 0.000
0.500 0.500 0.500
```

Properties
As for the uncorrected formation energy: -3279 meV/atom. The value obtained for the density of states at the Fermi level is 0.0 states/eV/cell.